! MgNiO2F, optimized geometry, DFT GGA+U; values from VASP
! Raw total energy = -4.24 eV/atom
! Mass density = 3.89 Mg/m³
&SYSTEM
  ibrav = 0, nat = 5, ntyp = 4
/
ATOMIC_SPECIES
Mg 24.30 Mg.upf
Ni 58.69 Ni.upf
O 16.00 O.upf
F 19.00 F.upf
CELL_PARAMETERS angstrom
3.897 0.000 0.000
0.000 3.897 0.000
0.000 0.000 3.761
ATOMIC_POSITIONS angstrom
Mg 0.000 0.000 0.000
Ni 1.949 1.949 1.881
O 0.000 1.949 0.000
O 1.949 0.000 0.000
F 0.000 0.000 1.881